Below is a relaxed Ho5Te5N crystal, with properties calculated at the PBE level.

Unit cell a=7.2108 b=7.2108 c=8.3284 alpha=107.58 beta=107.58 gamma=48.97
With the nearest neighbours (Å) after each atom.
Sites, in units of the cell vectors:
Ho  0.0000  0.0000  0.0000  2 N 2.99, 4 Te 3.00
Ho  0.3524  0.3524  0.1373  1 N 2.56
Ho  0.3644  0.3644  0.7251  1 N 2.39
Ho  0.6356  0.6356  0.2749  1 N 2.39
Ho  0.6476  0.6476  0.8627  1 N 2.56
Te  0.1573  0.1573  0.8079  5 Ho 3.00-3.07
Te  0.1780  0.1780  0.3373  5 Ho 3.00-3.34
Te  0.5000  0.5000  0.5000  4 Ho 2.98-3.00
Te  0.8220  0.8220  0.6627  5 Ho 3.00-3.34
Te  0.8427  0.8427  0.1921  5 Ho 3.00-3.07
N  0.5000  0.5000  0.0000  4 Ho 2.39-2.56

## Properties
E_form (uncorrected)   -14.14 eV per formula unit
Electronic total energy   -0.2040 hartree per atom
Total moment   0.0 μB/cell